[1]
BMoOs2, relaxed, DFT GGA-PBE; total DFT energy (no corrections) = -9.254 eV/atom
1.0
1.6078 -0.4143 3.8856
-1.5535 -2.9206 2.6290
2.3071 -3.4016 0.9802
Os B Mo
2 1 1
direct
0.0000 0.0000 0.0000
0.7500 0.7500 0.7500
0.5000 0.5000 0.5000
0.2500 0.2500 0.2500

=====

[2]
B2MoOs2, relaxed, DFT GGA-PBE; total DFT energy (no corrections) = -9.149 eV/atom
1.0
-0.9344 -2.7877 4.0676
-1.1850 2.4794 4.1998
-1.4921 0.0493 -4.7917
Os Mo B
2 1 2
direct
0.7500 0.2500 0.5000
0.2500 0.7500 0.5000
0.0000 0.0000 0.0000
0.3925 0.3925 0.0000
0.6075 0.6075 0.0000

=====

[3]
B4Mo3P, relaxed, DFT GGA-PBE; total DFT energy (no corrections) = -8.371 eV/atom
1.0
3.0694 0.0000 0.0000
0.0000 3.1358 0.0000
0.0000 0.0000 8.3645
Mo B P
3 4 1
direct
0.0000 0.0000 0.5000
0.5000 0.0000 0.8146
0.5000 0.0000 0.1854
0.0000 0.5000 0.2842
0.5000 0.5000 0.3896
0.0000 0.5000 0.7158
0.5000 0.5000 0.6104
0.0000 0.5000 0.0000

=====

[4]
BMo2P, relaxed, DFT GGA-PBE; total DFT energy (no corrections) = -8.848 eV/atom
1.0
3.2561 0.0000 0.0000
-1.6281 2.8199 0.0000
0.0000 0.0000 11.2930
P Mo B
2 4 2
direct
0.6667 0.3333 0.2500
0.3333 0.6667 0.7500
0.3333 0.6667 0.3950
0.6667 0.3333 0.6050
0.6667 0.3333 0.8950
0.3333 0.6667 0.1050
0.0000 0.0000 0.0000
0.0000 0.0000 0.5000